Entry 1:
The following is a DFT calculation (PBE) of PmUOsRu after structural relaxation.

Values from the calculation:
For the theoretical density, the calculation gives 13.8 Mg/m³. The total energy comes out at -9.13 eV per atom. Its symmetry is F-43m, No. 216. The value obtained for the energy above the most stable polymorph in this dataset is 22.19 kJ per mole of atoms.

The structure in extended XYZ format:
```
4
Lattice="0.0000 3.4374 3.4374 3.4374 0.0000 3.4374 3.4374 3.4374 0.0000" Properties=species:S:1:pos:R:3 pbc="T T T"
Pm 0.0000 0.0000 0.0000
U 3.4374 3.4374 3.4374
Os 5.1562 5.1562 5.1562
Ru 1.7187 1.7187 1.7187
```

=====

Entry 2:
The following is a DFT calculation (PBE) of Pm2OsS after structural relaxation.

Values from the calculation:
For the theoretical density, the calculation gives 9.7 Mg/m³. The total energy comes out at -7.03 eV per atom. Its symmetry is P4/mmm, No. 123. Its formation energy without anion corrections is -817 meV per atom.

The structure in extended XYZ format:
```
4
Lattice="3.4747 0.0000 0.0000 0.0000 3.4747 0.0000 0.0000 0.0000 7.2901" Properties=species:S:1:pos:R:3 pbc="T T T"
Pm 0.0000 0.0000 1.7633
Pm 0.0000 0.0000 5.5269
Os 1.7373 1.7373 0.0000
S 1.7373 1.7373 3.6451
```

=====

Entry 3:
The following is a DFT calculation (PBE) of PmOsS after structural relaxation.

Values from the calculation:
For the theoretical density, the calculation gives 10.1 Mg/m³. The total energy comes out at -6.77 eV per atom. Its symmetry is Amm2, No. 38. Its formation energy without anion corrections is -69 meV per atom.

The structure in extended XYZ format:
```
6
Lattice="10.7293 0.0000 0.0000 0.0000 1.9468 2.8817 0.0000 -1.9468 2.8817" Properties=species:S:1:pos:R:3 pbc="T T T"
Pm 1.9973 0.0000 0.0000
Pm 8.7320 0.0000 0.0000
Os 0.0000 0.0000 2.8609
Os 5.3647 0.0000 0.5127
S 3.9530 0.0000 3.6521
S 6.7763 0.0000 3.6521
```

=====

Entry 4:
The following is a DFT calculation (PBE) of PmSb2Os after structural relaxation.

Values from the calculation:
For the theoretical density, the calculation gives 10.7 Mg/m³. The total energy comes out at -5.99 eV per atom. Its symmetry is P4/mmm, No. 123. The value obtained for the energy above the most stable polymorph in this dataset is 0.00 kJ per mole of atoms. Its formation energy without anion corrections is 64 meV per atom.

The structure in extended XYZ format:
```
4
Lattice="4.6378 0.0000 0.0000 0.0000 4.6378 0.0000 0.0000 0.0000 4.1617" Properties=species:S:1:pos:R:3 pbc="T T T"
Pm 0.0000 0.0000 0.0000
Sb 0.0000 2.3189 2.0808
Sb 2.3189 0.0000 2.0808
Os 2.3189 2.3189 0.0000
```

=====

Entry 5:
The following is a DFT calculation (PBE) of PmSb12Os4 after structural relaxation.

Values from the calculation:
For the theoretical density, the calculation gives 9.4 Mg/m³. The total energy comes out at -5.99 eV per atom. Its symmetry is Im-3, No. 204. Its formation energy without anion corrections is -154 meV per atom.

The structure in extended XYZ format:
```
17
Lattice="-4.7067 4.7067 4.7067 4.7067 -4.7067 4.7067 4.7067 4.7067 -4.7067" Properties=species:S:1:pos:R:3 pbc="T T T"
Pm 0.0000 0.0000 0.0000
Sb 3.1860 1.4748 0.0000
Sb 6.2275 1.4748 0.0000
Sb 4.7067 -1.5207 3.2320
Sb 3.2320 4.7067 -1.5207
Sb 1.4748 0.0000 3.1860
Sb 0.0000 3.1860 1.4748
Sb 4.7067 1.5207 3.2320
Sb 3.2320 4.7067 1.5207
Sb 1.4748 0.0000 6.2275
Sb 0.0000 6.2275 1.4748
Sb -1.5207 3.2320 4.7067
Sb 1.5207 3.2320 4.7067
Os 2.3534 2.3534 -2.3534
Os 2.3534 -2.3534 2.3534
Os -2.3534 2.3534 2.3534
Os 2.3534 2.3534 2.3534
```

=====

Entry 6:
The following is a DFT calculation (PBE) of PmSb2Os after structural relaxation.

Values from the calculation:
For the theoretical density, the calculation gives 10.0 Mg/m³. The total energy comes out at -5.57 eV per atom. Its symmetry is R-3m, No. 166. The value obtained for the energy above the most stable polymorph in this dataset is 40.70 kJ per mole of atoms. Its formation energy without anion corrections is 485 meV per atom.

The structure in extended XYZ format:
```
4
Lattice="1.6270 0.9394 10.5273 -1.6270 0.9394 10.5273 0.0000 -1.8787 10.5273" Properties=species:S:1:pos:R:3 pbc="T T T"
Pm 0.0000 0.0000 0.0000
Sb 0.0000 0.0000 13.2383
Sb 0.0000 0.0000 18.3436
Os 0.0000 0.0000 15.7910
```

=====

- The highest theoretical density belongs to which entry?
  PmUOsRu

=====

- Which formula does entry 3 have?
  PmOsS

=====

- What is the theoretical density in the first record?
  13.8 Mg/m³

=====

- Which of these has the lowest theoretical density?
  PmSb12Os4